[1]
Crystalline BaCuSiAu6 at its relaxed geometry, computed with PBE.

Cell: 7.696 8.803 8.806 Å, 119.99 115.91 90.00°
Element x y z (fractional)
Ba (0.871, 0.621, 0.741)
Ba (0.129, 0.379, 0.259)
Cu (0.500, 0.000, 0.500)
Cu (0.000, 0.000, 0.500)
Si (0.500, 0.500, 0.000)
Si (0.500, 0.000, 0.000)
Au (0.418, 0.668, 0.836)
Au (0.875, 0.125, 0.749)
Au (0.844, 0.132, 0.294)
Au (0.450, 0.662, 0.294)
Au (0.450, 0.132, 0.294)
Au (0.844, 0.662, 0.294)
Au (0.582, 0.332, 0.164)
Au (0.125, 0.875, 0.251)
Au (0.156, 0.868, 0.706)
Au (0.550, 0.338, 0.706)
Au (0.550, 0.868, 0.706)
Au (0.156, 0.338, 0.706)

E_form (uncorrected)   -0.105 eV per atom
Magnetic moment   0.000 μB per atom
Fermi-level density of states   4.89 states/eV per cell


[2]
Crystalline Mn2FeReI at its relaxed geometry, computed with PBE.

Cell: 4.710 4.506 4.710 Å, 90.00 90.00 90.00°
Site moments in Bohr magnetons follow the coordinates.
Element x y z (fractional)
I (0.000, 0.000, 0.000)  -0.10
Re (0.500, 0.500, 0.500)  -2.38
Mn (0.000, 0.000, 0.500)  3.15
Mn (0.500, 0.000, 0.000)  3.13
Fe (0.000, 0.500, 0.000)  1.95

E_form (uncorrected)   2.130 eV per atom
Magnetic moment   1.095 μB per atom
Fermi-level density of states   8.70 states/eV per cell


[3]
Crystalline BaLi2Mg at its relaxed geometry, computed with PBE.

Cell: 5.138 5.138 6.494 Å, 66.27 66.27 60.36°
Element x y z (fractional)
Mg (0.250, 0.250, 0.250)
Ba (0.750, 0.750, 0.750)
Li (0.950, 0.950, 0.148)
Li (0.550, 0.550, 0.352)

Magnetic moment   0.000 μB per atom
Energy of formation from the pure elements   0.020 eV per atom
Fermi-level density of states   3.87 states/eV per cell


[4]
Crystalline Pr7YPb4 at its relaxed geometry, computed with PBE.

Cell: 6.023 9.789 7.889 Å, 78.73 67.56 72.08°
Element x y z (fractional)
Pr (0.791, 0.892, 0.526)
Pr (0.209, 0.108, 0.474)
Pr (0.053, 0.630, 0.264)
Pr (0.947, 0.370, 0.736)
Pr (0.307, 0.616, 0.770)
Pr (0.500, 0.000, 0.000)
Pr (0.693, 0.384, 0.230)
Y (0.000, 0.000, 0.000)
Pb (0.565, 0.239, 0.630)
Pb (0.435, 0.761, 0.370)
Pb (0.701, 0.672, 0.926)
Pb (0.299, 0.328, 0.074)

Magnetic moment   0.000 μB per atom
Energy of formation from the pure elements   -0.173 eV per atom
Fermi-level density of states   11.40 states/eV per cell


[5]
Crystalline Ba2CdTc2 at its relaxed geometry, computed with PBE.

Cell: 6.339 6.339 6.011 Å, 58.18 58.18 90.00°
Site moments in Bohr magnetons follow the coordinates.
Element x y z (fractional)
Tc (0.365, 0.365, 0.270)  0.49
Tc (0.635, 0.635, 0.730)  0.49
Ba (0.750, 0.250, 0.500)  0.00
Ba (0.250, 0.750, 0.500)  0.00
Cd (0.000, 0.000, 0.000)  -0.01

Magnetic moment   0.210 μB per atom
Energy of formation from the pure elements   0.840 eV per atom
Fermi-level density of states   6.28 states/eV per cell
Excess energy over the best structure of this formula in the dataset   2.229 eV per formula unit


[6]
Crystalline PmYTl2Se4 at its relaxed geometry, computed with PBE.

Cell: 4.244 7.350 8.140 Å, 107.50 90.00 90.00°
Element x y z (fractional)
Pm (0.500, 0.500, 0.000)
Y (0.000, 0.000, 0.000)
Tl (0.500, 0.000, 0.500)
Tl (0.000, 0.500, 0.500)
Se (0.500, 0.230, 0.206)
Se (0.500, 0.770, 0.794)
Se (0.000, 0.259, 0.792)
Se (0.000, 0.741, 0.208)

E_form (uncorrected)   -1.388 eV per atom
Magnetic moment   0.000 μB per atom


[7]
Crystalline Fe2PRu at its relaxed geometry, computed with PBE.

Cell: 2.670 2.670 6.315 Å, 90.00 90.00 90.00°
Element x y z (fractional)
Fe (0.000, 0.000, 0.044)
Fe (0.000, 0.000, 0.456)
P (0.500, 0.500, 0.250)
Ru (0.500, 0.500, 0.750)

Magnetic moment   0.000 μB per atom
Energy of formation from the pure elements   -0.123 eV per atom
Fermi-level density of states   3.39 states/eV per cell


[8]
Crystalline CuNi2TeW at its relaxed geometry, computed with PBE.

Cell: 4.339 4.603 4.339 Å, 90.00 90.00 90.00°
Site moments in Bohr magnetons follow the coordinates.
Element x y z (fractional)
Ni (0.000, 0.000, 0.500)  0.09
Ni (0.500, 0.000, 0.000)  0.12
Te (0.500, 0.500, 0.500)  -0.03
Cu (0.000, 0.000, 0.000)  0.06
W (0.000, 0.500, 0.000)  0.83

E_form (uncorrected)   1.176 eV per atom
Magnetic moment   0.257 μB per atom
Fermi-level density of states   5.27 states/eV per cell


[9]
Crystalline LiBr3 at its relaxed geometry, computed with PBE.

Cell: 5.249 5.249 3.706 Å, 90.00 90.00 90.00°
Element x y z (fractional)
Br (0.000, 0.500, 0.500)
Br (0.500, 0.000, 0.500)
Br (0.500, 0.500, 0.000)
Li (0.000, 0.000, 0.000)

E_form (uncorrected)   -0.267 eV per atom
Magnetic moment   0.000 μB per atom
Fermi-level density of states   4.43 states/eV per cell
Excess energy over the best structure of this formula in the dataset   1.853 eV per formula unit


[10]
Crystalline La12CePm6 at its relaxed geometry, computed with PBE.

Cell: 9.787 9.787 9.787 Å, 110.90 110.90 110.90°
Site moments in Bohr magnetons follow the coordinates.
Element x y z (fractional)
La (0.371, 0.056, 0.580)  0.00
La (0.056, 0.580, 0.371)  0.00
La (0.580, 0.371, 0.056)  0.00
La (0.629, 0.944, 0.420)  0.00
La (0.944, 0.420, 0.629)  0.00
La (0.420, 0.629, 0.944)  0.00
La (0.103, 0.155, 0.740)  0.02
La (0.260, 0.897, 0.845)  0.02
La (0.845, 0.260, 0.897)  0.02
La (0.897, 0.845, 0.260)  0.02
La (0.740, 0.103, 0.155)  0.02
La (0.155, 0.740, 0.103)  0.02
Ce (0.000, 0.000, 0.000)  0.81
Pm (0.210, 0.314, 0.468)  0.02
Pm (0.686, 0.532, 0.790)  0.02
Pm (0.532, 0.790, 0.686)  0.02
Pm (0.790, 0.686, 0.532)  0.02
Pm (0.314, 0.468, 0.210)  0.02
Pm (0.468, 0.210, 0.314)  0.02

Magnetic moment   0.077 μB per atom
Energy of formation from the pure elements   0.030 eV per atom
Fermi-level density of states   40.60 states/eV per cell


[11]
Crystalline Ge3AuSe4 at its relaxed geometry, computed with PBE.

Cell: 5.872 6.734 10.840 Å, 90.00 90.00 90.00°
Element x y z (fractional)
Ge (0.639, 0.692, 0.000)
Ge (0.043, 0.667, 0.251)
Ge (0.543, 0.333, 0.249)
Ge (0.139, 0.308, 0.500)
Ge (0.543, 0.333, 0.751)
Ge (0.043, 0.667, 0.749)
Au (0.896, 0.057, 0.000)
Au (0.396, 0.943, 0.500)
Se (0.100, 0.735, 0.000)
Se (0.578, 0.292, 0.000)
Se (0.108, 0.302, 0.243)
Se (0.608, 0.698, 0.257)
Se (0.078, 0.708, 0.500)
Se (0.600, 0.265, 0.500)
Se (0.608, 0.698, 0.743)
Se (0.108, 0.302, 0.757)

E_form (uncorrected)   -0.128 eV per atom
Magnetic moment   0.000 μB per atom
Fermi-level density of states   5.80 states/eV per cell


[12]
Crystalline Pa2CuRh at its relaxed geometry, computed with PBE.

Cell: 3.583 3.583 6.299 Å, 90.00 90.00 90.00°
Element x y z (fractional)
Pa (0.000, 0.000, 0.745)
Pa (0.000, 0.000, 0.255)
Rh (0.500, 0.500, 0.500)
Cu (0.500, 0.500, 0.000)

Magnetic moment   0.000 μB per atom
Energy of formation from the pure elements   -0.206 eV per atom
Fermi-level density of states   7.21 states/eV per cell
Excess energy over the best structure of this formula in the dataset   0.165 eV per formula unit


[13]
Crystalline Ca2ZrRh at its relaxed geometry, computed with PBE.

Cell: 4.847 3.341 6.268 Å, 69.41 90.00 90.00°
Element x y z (fractional)
Ca (0.000, 0.079, 0.021)
Ca (0.000, 0.421, 0.479)
Rh (0.500, 0.250, 0.250)
Zr (0.500, 0.750, 0.750)

Magnetic moment   0.000 μB per atom
Energy of formation from the pure elements   0.149 eV per atom
Fermi-level density of states   3.84 states/eV per cell
Excess energy over the best structure of this formula in the dataset   1.629 eV per formula unit


[14]
Crystalline Ho3TlC at its relaxed geometry, computed with PBE.

Cell: 4.894 4.894 4.894 Å, 90.00 90.00 90.00°
Element x y z (fractional)
C (0.000, 0.000, 0.000)
Tl (0.500, 0.500, 0.500)
Ho (0.000, 0.500, 0.000)
Ho (0.000, 0.000, 0.500)
Ho (0.500, 0.000, 0.000)

Magnetic moment   0.000 μB per atom
Energy of formation from the pure elements   -0.474 eV per atom
Fermi-level density of states   0.94 states/eV per cell
Excess energy over the best structure of this formula in the dataset   0.000 eV per formula unit


[15]
Crystalline NiTeW4 at its relaxed geometry, computed with PBE.

Cell: 5.329 5.329 5.329 Å, 60.00 60.00 60.00°
Element x y z (fractional)
Ni (0.750, 0.750, 0.750)
Te (0.000, 0.000, 0.000)
W (0.869, 0.377, 0.377)
W (0.377, 0.377, 0.869)
W (0.377, 0.869, 0.377)
W (0.377, 0.377, 0.377)

E_form (uncorrected)   0.907 eV per atom
Magnetic moment   0.000 μB per atom
Fermi-level density of states   6.25 states/eV per cell


[16]
Crystalline BaHoCu2Ge2 at its relaxed geometry, computed with PBE.

Cell: 4.384 4.384 8.104 Å, 90.00 90.00 120.00°
Element x y z (fractional)
Ba (0.000, 0.000, 0.000)
Ho (0.000, 0.000, 0.500)
Cu (0.667, 0.333, 0.318)
Cu (0.333, 0.667, 0.682)
Ge (0.667, 0.333, 0.700)
Ge (0.333, 0.667, 0.300)

Magnetic moment   0.000 μB per atom
Energy of formation from the pure elements   -0.544 eV per atom
Fermi-level density of states   2.31 states/eV per cell


[17]
Crystalline Pr2Cu15Pt2 at its relaxed geometry, computed with PBE.

Cell: 6.575 6.575 6.575 Å, 83.24 83.24 83.24°
Element x y z (fractional)
Pr (0.340, 0.340, 0.340)
Pr (0.660, 0.660, 0.660)
Cu (0.500, 0.000, 0.000)
Cu (0.000, 0.000, 0.500)
Cu (0.000, 0.500, 0.000)
Cu (0.000, 0.709, 0.291)
Cu (0.709, 0.291, 0.000)
Cu (0.291, 0.000, 0.709)
Cu (0.291, 0.709, 0.000)
Cu (0.709, 0.000, 0.291)
Cu (0.000, 0.291, 0.709)
Cu (0.154, 0.653, 0.653)
Cu (0.653, 0.653, 0.154)
Cu (0.653, 0.154, 0.653)
Cu (0.846, 0.347, 0.347)
Cu (0.347, 0.347, 0.846)
Cu (0.347, 0.846, 0.347)
Pt (0.106, 0.106, 0.106)
Pt (0.894, 0.894, 0.894)

Magnetic moment   0.000 μB per atom
Energy of formation from the pure elements   -0.181 eV per atom
Fermi-level density of states   9.75 states/eV per cell


[18]
Crystalline BeCrSe2 at its relaxed geometry, computed with PBE.

Cell: 4.360 4.360 6.901 Å, 90.00 90.00 134.42°
Site moments in Bohr magnetons follow the coordinates.
Element x y z (fractional)
Cr (0.500, 0.500, 0.750)  3.62
Se (0.000, 0.000, 0.023)  -0.06
Se (0.000, 0.000, 0.477)  -0.06
Be (0.500, 0.500, 0.250)  0.04

E_form (uncorrected)   -0.001 eV per atom
Magnetic moment   1.000 μB per atom
Fermi-level density of states   1.13 states/eV per cell


[19]
Crystalline NaTiAgSe3 at its relaxed geometry, computed with PBE.

Cell: 3.777 7.748 9.625 Å, 106.45 90.00 90.00°
Element x y z (fractional)
Na (0.250, 0.251, 0.285)
Na (0.750, 0.749, 0.715)
Ti (0.250, 0.687, 0.167)
Ti (0.750, 0.313, 0.833)
Ag (0.250, 0.065, 0.610)
Ag (0.750, 0.935, 0.390)
Se (0.750, 0.897, 0.119)
Se (0.250, 0.103, 0.881)
Se (0.250, 0.706, 0.434)
Se (0.750, 0.294, 0.566)
Se (0.750, 0.440, 0.126)
Se (0.250, 0.560, 0.874)

E_form (uncorrected)   -0.842 eV per atom
Magnetic moment   0.000 μB per atom
Fermi-level density of states   0.26 states/eV per cell


[20]
Crystalline Cu13Pt2 at its relaxed geometry, computed with PBE.

Cell: 6.769 6.769 7.182 Å, 61.88 61.88 60.00°
Element x y z (fractional)
Cu (0.500, 0.500, 0.500)
Cu (0.150, 0.513, 0.824)
Cu (0.513, 0.513, 0.824)
Cu (0.513, 0.150, 0.824)
Cu (0.487, 0.850, 0.176)
Cu (0.850, 0.487, 0.176)
Cu (0.487, 0.487, 0.176)
Cu (0.101, 0.730, 0.438)
Cu (0.730, 0.730, 0.438)
Cu (0.730, 0.101, 0.438)
Cu (0.270, 0.899, 0.562)
Cu (0.899, 0.270, 0.562)
Cu (0.270, 0.270, 0.562)
Pt (0.733, 0.733, 0.800)
Pt (0.267, 0.267, 0.200)

Magnetic moment   0.000 μB per atom
Energy of formation from the pure elements   0.248 eV per atom
Fermi-level density of states   5.41 states/eV per cell
Excess energy over the best structure of this formula in the dataset   4.744 eV per formula unit


[21]
Crystalline DyPu2V at its relaxed geometry, computed with PBE.

Cell: 3.187 3.187 11.102 Å, 81.75 81.75 60.00°
Site moments in Bohr magnetons follow the coordinates.
Element x y z (fractional)
V (0.500, 0.500, 0.500)  -0.22
Dy (0.000, 0.000, 0.000)  0.09
Pu (0.097, 0.097, 0.708)  5.36
Pu (0.903, 0.903, 0.292)  5.36

Magnetic moment   2.769 μB per atom
Energy of formation from the pure elements   0.520 eV per atom
Fermi-level density of states   14.79 states/eV per cell


[22]
Crystalline LaNd3Th2As6 at its relaxed geometry, computed with PBE.

Cell: 7.427 7.427 7.399 Å, 99.61 99.61 120.05°
Element x y z (fractional)
La (0.000, 0.000, 0.000)
Nd (0.165, 0.835, 0.500)
Nd (0.835, 0.165, 0.500)
Nd (0.500, 0.500, 0.500)
Th (0.333, 0.667, 0.000)
Th (0.667, 0.333, 0.000)
As (0.917, 0.579, 0.751)
As (0.744, 0.744, 0.248)
As (0.083, 0.421, 0.249)
As (0.579, 0.917, 0.751)
As (0.256, 0.256, 0.752)
As (0.421, 0.083, 0.249)

Magnetic moment   0.000 μB per atom
Energy of formation from the pure elements   -1.512 eV per atom
Fermi-level density of states   2.60 states/eV per cell


[23]
Crystalline Ba2HgSbRh at its relaxed geometry, computed with PBE.

Cell: 6.101 6.101 5.042 Å, 90.00 90.00 90.00°
Element x y z (fractional)
Sb (0.000, 0.000, 0.500)
Rh (0.000, 0.000, 0.000)
Hg (0.500, 0.500, 0.500)
Ba (0.000, 0.500, 0.000)
Ba (0.500, 0.000, 0.000)

E_form (uncorrected)   -0.526 eV per atom
Magnetic moment   0.000 μB per atom
Fermi-level density of states   3.64 states/eV per cell


[24]
Crystalline LaFe3P at its relaxed geometry, computed with PBE.

Cell: 4.296 4.296 4.296 Å, 90.00 90.00 90.00°
Site moments in Bohr magnetons follow the coordinates.
Element x y z (fractional)
P (0.000, 0.000, 0.000)  -0.05
Fe (0.000, 0.500, 0.000)  0.97
Fe (0.000, 0.000, 0.500)  0.97
Fe (0.500, 0.000, 0.000)  0.77
La (0.500, 0.500, 0.500)  -0.17

Magnetic moment   0.444 μB per atom
Energy of formation from the pure elements   0.000 eV per atom
Fermi-level density of states   6.83 states/eV per cell
Excess energy over the best structure of this formula in the dataset   0.000 eV per formula unit